Record 1
Density functional theory data (GGA-PBE) for a relaxed structure of NaAl2ZnN.

a = 3.9695 Å, b = 3.9695 Å, c = 4.7291 Å
α = 90.00°, β = 90.00°, γ = 90.00°
With the nearest neighbours (Å) after each atom.
Sites, in units of the cell vectors:
Na 0.0000 0.0000 0.0000  2 N 2.36
Al 0.0000 0.5000 0.5000  2 N 1.98
Al 0.5000 0.0000 0.5000  2 N 1.98
Zn 0.5000 0.5000 0.0000  4 Na 2.81, 8 Al 3.09
N 0.0000 0.0000 0.5000  4 Al 1.98

The density of states at the Fermi level comes out at 0.386 states/eV/atom. The uncorrected formation energy is 0.035 eV per atom.

***

Record 2
Density functional theory data (GGA-PBE) for a relaxed structure of Nb4Al2N.

a = 8.4667 Å, b = 8.4667 Å, c = 8.4667 Å
α = 60.00°, β = 60.00°, γ = 60.00°
With the nearest neighbours (Å) after each atom.
Sites, in units of the cell vectors:
Nb 0.0000 0.0000 0.0000  6 Al 2.64
Nb 0.0000 0.0000 0.5000  6 Al 2.64
Nb 0.0000 0.5000 0.0000  6 Al 2.64
Nb 0.1815 0.1815 0.5685  2 N 2.27
Nb 0.1815 0.5685 0.1815  2 N 2.27
Nb 0.1815 0.5685 0.5685  2 N 2.27
Nb 0.4315 0.4315 0.8185  2 N 2.27
Nb 0.4315 0.8185 0.4315  2 N 2.27
Nb 0.4315 0.8185 0.8185  2 N 2.27
Nb 0.5000 0.0000 0.0000  6 Al 2.64
Nb 0.5685 0.1815 0.1815  2 N 2.27
Nb 0.5685 0.1815 0.5685  2 N 2.27
Nb 0.5685 0.5685 0.1815  2 N 2.27
Nb 0.8185 0.4315 0.4315  2 N 2.27
Nb 0.8185 0.4315 0.8185  2 N 2.27
Nb 0.8185 0.8185 0.4315  2 N 2.27
Al 0.1436 0.7855 0.7855  6 Nb 2.64-2.75
Al 0.2145 0.2145 0.2145  6 Nb 2.64-2.75
Al 0.2145 0.2145 0.8564  6 Nb 2.64-2.75
Al 0.2145 0.8564 0.2145  6 Nb 2.64-2.75
Al 0.7855 0.1436 0.7855  6 Nb 2.64-2.75
Al 0.7855 0.7855 0.1436  6 Nb 2.64-2.75
Al 0.7855 0.7855 0.7855  6 Nb 2.64-2.75
Al 0.8564 0.2145 0.2145  6 Nb 2.64-2.75
N 0.0000 0.5000 0.5000  6 Nb 2.27
N 0.5000 0.0000 0.5000  6 Nb 2.27
N 0.5000 0.5000 0.0000  6 Nb 2.27
N 0.5000 0.5000 0.5000  6 Nb 2.27

The density of states at the Fermi level comes out at 0.627 states/eV/atom. The uncorrected formation energy is -0.525 eV per atom.

***

Record 3
Density functional theory data (GGA-PBE) for a relaxed structure of NbAlN3.

a = 3.6592 Å, b = 3.6592 Å, c = 3.6592 Å
α = 90.00°, β = 90.00°, γ = 90.00°
With the nearest neighbours (Å) after each atom.
Sites, in units of the cell vectors:
Nb 0.0000 0.0000 0.0000  12 N 2.59
Al 0.5000 0.5000 0.5000  6 N 1.83
N 0.0000 0.5000 0.5000  2 Al 1.83
N 0.5000 0.0000 0.5000  2 Al 1.83
N 0.5000 0.5000 0.0000  2 Al 1.83

The density of states at the Fermi level comes out at 0.765 states/eV/atom. The uncorrected formation energy is 0.368 eV per atom.

***

Record 4
Density functional theory data (GGA-PBE) for a relaxed structure of Nb3AlN4.

a = 10.8240 Å, b = 10.8240 Å, c = 10.8240 Å
α = 15.95°, β = 15.95°, γ = 15.95°
With the nearest neighbours (Å) after each atom.
Sites, in units of the cell vectors:
Nb 0.0000 0.0000 0.0000  6 N 2.21
Nb 0.2483 0.2483 0.2483  6 N 2.21-2.29
Nb 0.7517 0.7517 0.7517  6 N 2.21-2.29
Al 0.5000 0.5000 0.5000  6 N 2.07
N 0.1316 0.1316 0.1316  3 Al 2.07, 3 Nb 2.29
N 0.3759 0.3759 0.3759  6 Nb 2.21
N 0.6241 0.6241 0.6241  6 Nb 2.21
N 0.8684 0.8684 0.8684  3 Al 2.07, 3 Nb 2.29

The density of states at the Fermi level comes out at 0.466 states/eV/atom. The uncorrected formation energy is -0.927 eV per atom.

***

Record 5
Density functional theory data (GGA-PBE) for a relaxed structure of NbAlN.

a = 5.6436 Å, b = 5.6436 Å, c = 5.6436 Å
α = 90.00°, β = 90.00°, γ = 90.00°
With the nearest neighbours (Å) after each atom.
Sites, in units of the cell vectors:
Nb 0.1058 0.3942 0.6058  3 N 2.06
Nb 0.3942 0.6058 0.1058  3 N 2.06
Nb 0.6058 0.1058 0.3942  3 N 2.06
Nb 0.8942 0.8942 0.8942  3 N 2.06
Al 0.1094 0.8906 0.3906  1 N 1.89
Al 0.3906 0.1094 0.8906  1 N 1.89
Al 0.6094 0.6094 0.6094  1 N 1.89
Al 0.8906 0.3906 0.1094  1 N 1.89
N 0.0837 0.5837 0.9163  1 Al 1.89, 3 Nb 2.06
N 0.4163 0.4163 0.4163  1 Al 1.89, 3 Nb 2.06
N 0.5837 0.9163 0.0837  1 Al 1.89, 3 Nb 2.06
N 0.9163 0.0837 0.5837  1 Al 1.89, 3 Nb 2.06

The density of states at the Fermi level comes out at 0.494 states/eV/atom. The uncorrected formation energy is -0.363 eV per atom.

***

Record 6
Density functional theory data (GGA-PBE) for a relaxed structure of Nb4Al2N.

a = 7.6683 Å, b = 7.6683 Å, c = 7.6683 Å
α = 148.93°, β = 148.93°, γ = 44.51°
With the nearest neighbours (Å) after each atom.
Sites, in units of the cell vectors:
Nb 0.0000 0.5000 0.5000  2 N 2.05
Nb 0.1619 0.1619 0.0000  1 N 2.30
Nb 0.5000 0.0000 0.5000  2 N 2.05
Nb 0.8381 0.8381 0.0000  1 N 2.30
Al 0.3538 0.3538 0.0000  9 Nb 2.72-2.92
Al 0.6462 0.6462 0.0000  9 Nb 2.72-2.92
N 0.0000 0.0000 0.0000  6 Nb 2.05-2.30

The density of states at the Fermi level comes out at 0.778 states/eV/atom. The uncorrected formation energy is -0.238 eV per atom.

***

no.,magnetization (μB/f.u.)
1,0.00
2,0.00
3,0.00
4,0.00
5,0.00
6,0.00